# RbMg14V (PBE-GGA, relaxed)
data_RbMg14V
_chemical_formula_sum 'Rb1 Mg14 V1'
_symmetry_space_group_name_H-M 'P 1'
_symmetry_Int_Tables_number 1
_cell_length_a 6.4752
_cell_length_b 6.4752
_cell_length_c 10.7757
_cell_angle_alpha 90.00
_cell_angle_beta 90.00
_cell_angle_gamma 120.12
loop_
_symmetry_equiv_pos_as_xyz
'x,y,z'
loop_
_atom_site_label
_atom_site_fract_x
_atom_site_fract_y
_atom_site_fract_z
Mg1 0.1639 0.8361 0.7702
Mg2 0.6783 0.8380 0.7569
Mg3 0.1620 0.3217 0.2431
Mg4 0.8348 0.1652 0.0000
Mg5 0.8294 0.6586 0.0000
Mg6 0.3368 0.6632 0.0000
Mg7 0.6733 0.3267 0.7326
Mg8 0.1639 0.8361 0.2298
Mg9 0.1620 0.3217 0.7569
Mg10 0.8219 0.6776 0.5000
Mg11 0.3414 0.1706 0.0000
Mg12 0.6783 0.8380 0.2431
Mg13 0.3224 0.1781 0.5000
Mg14 0.6733 0.3267 0.2674
V1 0.8402 0.1598 0.5000
Rb1 0.3179 0.6821 0.5000
# SG = Amm2 (38)
# Crystal system = orthorhombic
# D(E_F) = 0.453 states/eV/atom
# Formation energy from the elements = 0.226 eV/atom

# Ba7Ru4Br2O15 (PBE-GGA, relaxed)
data_Ba7Ru4Br2O15
_chemical_formula_sum 'Ba7 Ru4 Br2 O15'
_symmetry_space_group_name_H-M 'P 1'
_symmetry_Int_Tables_number 1
_cell_length_a 18.1282
_cell_length_b 18.1282
_cell_length_c 18.1282
_cell_angle_alpha 18.71
_cell_angle_beta 18.71
_cell_angle_gamma 18.71
loop_
_symmetry_equiv_pos_as_xyz
'x,y,z'
loop_
_atom_site_label
_atom_site_fract_x
_atom_site_fract_y
_atom_site_fract_z
O1 0.5839 0.5839 0.1011
O2 0.7727 0.7727 0.3210
O3 0.2273 0.2273 0.6790
O4 0.5000 0.5000 0.0000
O5 0.8989 0.4161 0.4161
O6 0.5839 0.1011 0.5839
O7 0.7727 0.3210 0.7727
O8 0.5000 0.0000 0.5000
O9 0.3210 0.7727 0.7727
O10 0.0000 0.5000 0.5000
O11 0.1011 0.5839 0.5839
O12 0.4161 0.4161 0.8989
O13 0.4161 0.8989 0.4161
O14 0.2273 0.6790 0.2273
O15 0.6790 0.2273 0.2273
Ba1 0.0000 0.0000 0.0000
Ba2 0.2085 0.2085 0.2085
Ba3 0.2872 0.2872 0.2872
Ba4 0.7915 0.7915 0.7915
Ba5 0.9185 0.9185 0.9185
Ba6 0.7128 0.7128 0.7128
Ba7 0.0815 0.0815 0.0815
Br1 0.1439 0.1439 0.1439
Br2 0.8561 0.8561 0.8561
Ru1 0.4049 0.4049 0.4049
Ru2 0.5951 0.5951 0.5951
Ru3 0.3529 0.3529 0.3529
Ru4 0.6471 0.6471 0.6471
# SG = R-3m (166)
# Crystal system = trigonal
# D(E_F) = 0.315 states/eV/atom
# ΔE_f (raw) = -1.937 eV per atom

# PdC3N (PBE-GGA, relaxed)
data_PdC3N
_chemical_formula_sum 'Pd1 C3 N1'
_symmetry_space_group_name_H-M 'P 1'
_symmetry_Int_Tables_number 1
_cell_length_a 3.4875
_cell_length_b 3.4875
_cell_length_c 3.4875
_cell_angle_alpha 90.00
_cell_angle_beta 90.00
_cell_angle_gamma 90.00
loop_
_symmetry_equiv_pos_as_xyz
'x,y,z'
loop_
_atom_site_label
_atom_site_fract_x
_atom_site_fract_y
_atom_site_fract_z
N1 0.0000 0.0000 0.0000
C1 0.0000 0.0000 0.5000
C2 0.0000 0.5000 0.0000
C3 0.5000 0.0000 0.0000
Pd1 0.5000 0.5000 0.5000
# SG = Pm-3m (221)
# Crystal system = cubic
# D(E_F) = 0.424 states/eV/atom
# ΔE_f (raw) = 3.076 eV per atom

# MnZnS2 (PBE-GGA, relaxed)
data_MnZnS2
_chemical_formula_sum 'Mn1 Zn1 S2'
_symmetry_space_group_name_H-M 'P 1'
_symmetry_Int_Tables_number 1
_cell_length_a 7.2020
_cell_length_b 7.2020
_cell_length_c 7.2020
_cell_angle_alpha 31.58
_cell_angle_beta 31.58
_cell_angle_gamma 31.58
loop_
_symmetry_equiv_pos_as_xyz
'x,y,z'
loop_
_atom_site_label
_atom_site_fract_x
_atom_site_fract_y
_atom_site_fract_z
Mn1 0.5000 0.5000 0.5000
Zn1 0.0000 0.0000 0.0000
S1 0.8954 0.8954 0.8954
S2 0.1046 0.1046 0.1046
# SG = R-3m (166)
# Crystal system = trigonal
# D(E_F) = 0.000 states/eV/atom
# ΔE_f (raw) = -0.387 eV per atom

# Pm3SmPu2Te6 (PBE-GGA, relaxed)
data_Pm3SmPu2Te6
_chemical_formula_sum 'Pm3 Sm1 Pu2 Te6'
_symmetry_space_group_name_H-M 'P 1'
_symmetry_Int_Tables_number 1
_cell_length_a 4.4338
_cell_length_b 8.9327
_cell_length_c 9.9627
_cell_angle_alpha 103.24
_cell_angle_beta 102.86
_cell_angle_gamma 90.00
loop_
_symmetry_equiv_pos_as_xyz
'x,y,z'
loop_
_atom_site_label
_atom_site_fract_x
_atom_site_fract_y
_atom_site_fract_z
Pm1 0.1658 0.8339 0.3317
Pm2 0.8342 0.1661 0.6683
Pm3 0.5000 0.5000 0.0000
Pu1 0.8338 0.6669 0.6676
Pu2 0.1662 0.3331 0.3324
Te1 0.0009 0.2496 0.0019
Te2 0.3323 0.4186 0.6646
Te3 0.6677 0.5814 0.3354
Te4 0.9991 0.7504 0.9981
Te5 0.3334 0.9138 0.6669
Te6 0.6666 0.0862 0.3331
Sm1 0.5000 0.0000 0.0000
# SG = C2/m (12)
# Crystal system = monoclinic
# D(E_F) = 2.008 states/eV/atom
# ΔE_f (raw) = -1.317 eV per atom

# Sc2GaSiIr (PBE-GGA, relaxed)
data_Sc2GaSiIr
_chemical_formula_sum 'Sc2 Ga1 Si1 Ir1'
_symmetry_space_group_name_H-M 'P 1'
_symmetry_Int_Tables_number 1
_cell_length_a 5.0637
_cell_length_b 4.5237
_cell_length_c 5.0637
_cell_angle_alpha 90.00
_cell_angle_beta 90.00
_cell_angle_gamma 90.00
loop_
_symmetry_equiv_pos_as_xyz
'x,y,z'
loop_
_atom_site_label
_atom_site_fract_x
_atom_site_fract_y
_atom_site_fract_z
Si1 0.0000 0.5000 0.0000
Ir1 0.0000 0.0000 0.0000
Sc1 0.5000 0.0000 0.0000
Sc2 0.0000 0.0000 0.5000
Ga1 0.5000 0.5000 0.5000
# SG = P4/mmm (123)
# Crystal system = tetragonal
# D(E_F) = 0.600 states/eV/atom
# ΔE_f (raw) = -0.241 eV per atom

# CsCdPS4 (PBE-GGA, relaxed)
data_CsCdPS4
_chemical_formula_sum 'Cs2 Cd2 P2 S8'
_symmetry_space_group_name_H-M 'P 1'
_symmetry_Int_Tables_number 1
_cell_length_a 6.2096
_cell_length_b 7.0530
_cell_length_c 9.4305
_cell_angle_alpha 90.00
_cell_angle_beta 107.60
_cell_angle_gamma 90.00
loop_
_symmetry_equiv_pos_as_xyz
'x,y,z'
loop_
_atom_site_label
_atom_site_fract_x
_atom_site_fract_y
_atom_site_fract_z
P1 0.1920 0.7500 0.3174
P2 0.8080 0.2500 0.6826
S1 0.0287 0.4791 0.6967
S2 0.6724 0.2500 0.8504
S3 0.0287 0.0209 0.6967
S4 0.9713 0.5209 0.3033
S5 0.9713 0.9791 0.3033
S6 0.4246 0.7500 0.5258
S7 0.5754 0.2500 0.4742
S8 0.3276 0.7500 0.1496
Cd1 0.8074 0.7500 0.4815
Cd2 0.1926 0.2500 0.5185
Cs1 0.7215 0.7500 0.9235
Cs2 0.2785 0.2500 0.0765
# SG = P2_1/m (11)
# Crystal system = monoclinic
# D(E_F) = 0.000 states/eV/atom
# ΔE_f (raw) = -0.651 eV per atom

# SmTmCdPt (PBE-GGA, relaxed)
data_SmTmCdPt
_chemical_formula_sum 'Sm1 Tm1 Cd1 Pt1'
_symmetry_space_group_name_H-M 'P 1'
_symmetry_Int_Tables_number 1
_cell_length_a 5.1144
_cell_length_b 5.1144
_cell_length_c 5.1144
_cell_angle_alpha 60.00
_cell_angle_beta 60.00
_cell_angle_gamma 60.00
loop_
_symmetry_equiv_pos_as_xyz
'x,y,z'
loop_
_atom_site_label
_atom_site_fract_x
_atom_site_fract_y
_atom_site_fract_z
Cd1 0.2500 0.2500 0.2500
Sm1 0.5000 0.5000 0.5000
Pt1 0.7500 0.7500 0.7500
Tm1 0.0000 0.0000 0.0000
# SG = F-43m (216)
# Crystal system = cubic
# D(E_F) = 0.796 states/eV/atom
# Formation energy from the elements = -0.699 eV/atom

# TaAs2Ru (PBE-GGA, relaxed)
data_TaAs2Ru
_chemical_formula_sum 'Ta1 As2 Ru1'
_symmetry_space_group_name_H-M 'P 1'
_symmetry_Int_Tables_number 1
_cell_length_a 4.4565
_cell_length_b 4.4565
_cell_length_c 4.4565
_cell_angle_alpha 60.00
_cell_angle_beta 60.00
_cell_angle_gamma 60.00
loop_
_symmetry_equiv_pos_as_xyz
'x,y,z'
loop_
_atom_site_label
_atom_site_fract_x
_atom_site_fract_y
_atom_site_fract_z
Ta1 0.5000 0.5000 0.5000
As1 0.7500 0.7500 0.7500
As2 0.2500 0.2500 0.2500
Ru1 0.0000 0.0000 0.0000
# SG = Fm-3m (225)
# Crystal system = cubic
# D(E_F) = 0.880 states/eV/atom
# Formation energy from the elements = -0.085 eV/atom

# PRuRh2 (PBE-GGA, relaxed)
data_PRuRh2
_chemical_formula_sum 'P1 Ru1 Rh2'
_symmetry_space_group_name_H-M 'P 1'
_symmetry_Int_Tables_number 1
_cell_length_a 8.1940
_cell_length_b 8.1940
_cell_length_c 8.1940
_cell_angle_alpha 19.75
_cell_angle_beta 19.75
_cell_angle_gamma 19.75
loop_
_symmetry_equiv_pos_as_xyz
'x,y,z'
loop_
_atom_site_label
_atom_site_fract_x
_atom_site_fract_y
_atom_site_fract_z
P1 0.2490 0.2490 0.2490
Rh1 0.9890 0.9890 0.9890
Rh2 0.7514 0.7514 0.7514
Ru1 0.5105 0.5105 0.5105
# SG = R3m (160)
# Crystal system = trigonal
# D(E_F) = 1.077 states/eV/atom
# Formation energy from the elements = -0.139 eV/atom

# LiTe2Se2 (PBE-GGA, relaxed)
data_LiTe2Se2
_chemical_formula_sum 'Li1 Te2 Se2'
_symmetry_space_group_name_H-M 'P 1'
_symmetry_Int_Tables_number 1
_cell_length_a 3.7993
_cell_length_b 3.7993
_cell_length_c 10.0521
_cell_angle_alpha 79.11
_cell_angle_beta 79.11
_cell_angle_gamma 90.00
loop_
_symmetry_equiv_pos_as_xyz
'x,y,z'
loop_
_atom_site_label
_atom_site_fract_x
_atom_site_fract_y
_atom_site_fract_z
Se1 0.7500 0.2500 0.5000
Se2 0.2500 0.7500 0.5000
Te1 0.4300 0.4300 0.1399
Te2 0.5700 0.5700 0.8601
Li1 0.0000 0.0000 0.0000
# SG = I4/mmm (139)
# Crystal system = tetragonal
# D(E_F) = 0.398 states/eV/atom
# ΔE_f (raw) = -0.169 eV per atom

# ZrTlC3 (PBE-GGA, relaxed)
data_ZrTlC3
_chemical_formula_sum 'Zr1 Tl1 C3'
_symmetry_space_group_name_H-M 'P 1'
_symmetry_Int_Tables_number 1
_cell_length_a 4.4485
_cell_length_b 4.4485
_cell_length_c 4.4485
_cell_angle_alpha 90.00
_cell_angle_beta 90.00
_cell_angle_gamma 90.00
loop_
_symmetry_equiv_pos_as_xyz
'x,y,z'
loop_
_atom_site_label
_atom_site_fract_x
_atom_site_fract_y
_atom_site_fract_z
C1 0.0000 0.5000 0.0000
C2 0.0000 0.0000 0.5000
C3 0.5000 0.0000 0.0000
Zr1 0.0000 0.0000 0.0000
Tl1 0.5000 0.5000 0.5000
# SG = Pm-3m (221)
# Crystal system = cubic
# D(E_F) = 0.390 states/eV/atom
# Formation energy from the elements = 1.995 eV/atom

# Sc5FeAg (PBE-GGA, relaxed)
data_Sc5FeAg
_chemical_formula_sum 'Sc10 Fe2 Ag2'
_symmetry_space_group_name_H-M 'P 1'
_symmetry_Int_Tables_number 1
_cell_length_a 5.3536
_cell_length_b 5.3536
_cell_length_c 10.9788
_cell_angle_alpha 77.62
_cell_angle_beta 77.62
_cell_angle_gamma 76.91
loop_
_symmetry_equiv_pos_as_xyz
'x,y,z'
loop_
_atom_site_label
_atom_site_fract_x
_atom_site_fract_y
_atom_site_fract_z
Sc1 0.4104 0.0804 0.3775
Sc2 0.2052 0.5428 0.5679
Sc3 0.0804 0.4104 0.8775
Sc4 0.0122 0.9878 0.7500
Sc5 0.7948 0.4572 0.4321
Sc6 0.9878 0.0122 0.2500
Sc7 0.5428 0.2052 0.0679
Sc8 0.5896 0.9196 0.6225
Sc9 0.9196 0.5896 0.1225
Sc10 0.4572 0.7948 0.9321
Fe1 0.0000 0.0000 0.0000
Fe2 0.0000 0.0000 0.5000
Ag1 0.4022 0.5978 0.2500
Ag2 0.5978 0.4022 0.7500
# SG = C2/c (15)
# Crystal system = monoclinic
# D(E_F) = 0.976 states/eV/atom
# Formation energy from the elements = -0.019 eV/atom

# SmGd3 (PBE-GGA, relaxed)
data_SmGd3
_chemical_formula_sum 'Sm2 Gd6'
_symmetry_space_group_name_H-M 'P 1'
_symmetry_Int_Tables_number 1
_cell_length_a 7.2823
_cell_length_b 7.2823
_cell_length_c 5.8173
_cell_angle_alpha 90.00
_cell_angle_beta 90.00
_cell_angle_gamma 120.00
loop_
_symmetry_equiv_pos_as_xyz
'x,y,z'
loop_
_atom_site_label
_atom_site_fract_x
_atom_site_fract_y
_atom_site_fract_z
Gd1 0.8335 0.1665 0.7500
Gd2 0.8335 0.6670 0.7500
Gd3 0.1665 0.8335 0.2500
Gd4 0.1665 0.3330 0.2500
Gd5 0.6670 0.8335 0.2500
Gd6 0.3330 0.1665 0.7500
Sm1 0.3333 0.6667 0.7500
Sm2 0.6667 0.3333 0.2500
# SG = P6_3/mmc (194)
# Crystal system = hexagonal
# D(E_F) = 1.789 states/eV/atom
# Formation energy from the elements = 0.009 eV/atom

# CsDyS4 (PBE-GGA, relaxed)
data_CsDyS4
_chemical_formula_sum 'Cs2 Dy2 S8'
_symmetry_space_group_name_H-M 'P 1'
_symmetry_Int_Tables_number 1
_cell_length_a 5.9843
_cell_length_b 5.9843
_cell_length_c 8.6850
_cell_angle_alpha 90.00
_cell_angle_beta 90.00
_cell_angle_gamma 90.00
loop_
_symmetry_equiv_pos_as_xyz
'x,y,z'
loop_
_atom_site_label
_atom_site_fract_x
_atom_site_fract_y
_atom_site_fract_z
Dy1 0.5000 0.5000 0.0000
Dy2 0.0000 0.0000 0.0000
Cs1 0.5000 0.5000 0.5000
Cs2 0.0000 0.0000 0.5000
S1 0.1250 0.6250 0.1861
S2 0.6250 0.8750 0.1861
S3 0.6250 0.1250 0.8139
S4 0.3750 0.1250 0.1861
S5 0.3750 0.8750 0.8139
S6 0.8750 0.6250 0.8139
S7 0.8750 0.3750 0.1861
S8 0.1250 0.3750 0.8139
# SG = P4/nbm (125)
# Crystal system = tetragonal
# ΔE_f (raw) = -1.213 eV per atom

# YGe4Pt12 (PBE-GGA, relaxed)
data_YGe4Pt12
_chemical_formula_sum 'Y1 Ge4 Pt12'
_symmetry_space_group_name_H-M 'P 1'
_symmetry_Int_Tables_number 1
_cell_length_a 7.4203
_cell_length_b 7.4203
_cell_length_c 7.4203
_cell_angle_alpha 109.47
_cell_angle_beta 109.47
_cell_angle_gamma 109.47
loop_
_symmetry_equiv_pos_as_xyz
'x,y,z'
loop_
_atom_site_label
_atom_site_fract_x
_atom_site_fract_y
_atom_site_fract_z
Pt1 0.4995 0.8436 0.6559
Pt2 0.8436 0.6559 0.4995
Pt3 0.1564 0.3441 0.5005
Pt4 0.8436 0.3441 0.1876
Pt5 0.6559 0.4995 0.8436
Pt6 0.3441 0.1876 0.8436
Pt7 0.1876 0.8436 0.3441
Pt8 0.8124 0.1564 0.6559
Pt9 0.6559 0.8124 0.1564
Pt10 0.5005 0.1564 0.3441
Pt11 0.3441 0.5005 0.1564
Pt12 0.1564 0.6559 0.8124
Ge1 0.0000 0.5000 0.0000
Ge2 0.5000 0.0000 0.0000
Ge3 0.5000 0.5000 0.5000
Ge4 0.0000 0.0000 0.5000
Y1 0.0000 0.0000 0.0000
# SG = Im-3 (204)
# Crystal system = cubic
# D(E_F) = 0.255 states/eV/atom
# Formation energy from the elements = -0.217 eV/atom

# Mn3SiRh (PBE-GGA, relaxed)
data_Mn3SiRh
_chemical_formula_sum 'Mn3 Si1 Rh1'
_symmetry_space_group_name_H-M 'P 1'
_symmetry_Int_Tables_number 1
_cell_length_a 4.1133
_cell_length_b 4.1133
_cell_length_c 4.1133
_cell_angle_alpha 90.00
_cell_angle_beta 90.00
_cell_angle_gamma 90.00
loop_
_symmetry_equiv_pos_as_xyz
'x,y,z'
loop_
_atom_site_label
_atom_site_fract_x
_atom_site_fract_y
_atom_site_fract_z
Mn1 0.0000 0.5000 0.0000
Mn2 0.5000 0.0000 0.0000
Mn3 0.0000 0.0000 0.5000
Rh1 0.5000 0.5000 0.5000
Si1 0.0000 0.0000 0.0000
# SG = Pm-3m (221)
# Crystal system = cubic
# D(E_F) = 3.170 states/eV/atom
# ΔE_f (raw) = 1.008 eV per atom

# ZrUNb2 (PBE-GGA, relaxed)
data_ZrUNb2
_chemical_formula_sum 'Zr1 U1 Nb2'
_symmetry_space_group_name_H-M 'P 1'
_symmetry_Int_Tables_number 1
_cell_length_a 3.4053
_cell_length_b 3.4053
_cell_length_c 6.9673
_cell_angle_alpha 90.00
_cell_angle_beta 90.00
_cell_angle_gamma 90.00
loop_
_symmetry_equiv_pos_as_xyz
'x,y,z'
loop_
_atom_site_label
_atom_site_fract_x
_atom_site_fract_y
_atom_site_fract_z
Nb1 0.0000 0.0000 0.2247
Nb2 0.0000 0.0000 0.7753
Zr1 0.5000 0.5000 0.5000
U1 0.5000 0.5000 0.0000
# SG = P4/mmm (123)
# Crystal system = tetragonal
# D(E_F) = 1.020 states/eV/atom
# Formation energy from the elements = 0.135 eV/atom

# ThAl2Pd5 (PBE-GGA, relaxed)
data_ThAl2Pd5
_chemical_formula_sum 'Th1 Al2 Pd5'
_symmetry_space_group_name_H-M 'P 1'
_symmetry_Int_Tables_number 1
_cell_length_a 3.9361
_cell_length_b 6.4921
_cell_length_c 6.4921
_cell_angle_alpha 65.93
_cell_angle_beta 72.35
_cell_angle_gamma 72.35
loop_
_symmetry_equiv_pos_as_xyz
'x,y,z'
loop_
_atom_site_label
_atom_site_fract_x
_atom_site_fract_y
_atom_site_fract_z
Pd1 0.0000 0.5000 0.5000
Pd2 0.3579 0.4415 0.8427
Pd3 0.3579 0.8427 0.4415
Pd4 0.6421 0.5585 0.1573
Pd5 0.6421 0.1573 0.5585
Al1 0.7606 0.7394 0.7394
Al2 0.2394 0.2606 0.2606
Th1 0.0000 0.0000 0.0000
# SG = Immm (71)
# Crystal system = orthorhombic
# D(E_F) = 0.364 states/eV/atom
# Formation energy from the elements = -0.771 eV/atom

# La4SiI (PBE-GGA, relaxed)
data_La4SiI
_chemical_formula_sum 'La8 Si2 I2'
_symmetry_space_group_name_H-M 'P 1'
_symmetry_Int_Tables_number 1
_cell_length_a 7.4181
_cell_length_b 7.6841
_cell_length_c 9.3747
_cell_angle_alpha 105.42
_cell_angle_beta 104.28
_cell_angle_gamma 111.33
loop_
_symmetry_equiv_pos_as_xyz
'x,y,z'
loop_
_atom_site_label
_atom_site_fract_x
_atom_site_fract_y
_atom_site_fract_z
I1 0.3138 0.5638 0.1277
I2 0.6862 0.4362 0.8723
La1 0.1765 0.4074 0.3911
La2 0.4321 0.7098 0.8558
La3 0.8235 0.5926 0.6089
La4 0.5679 0.2902 0.1442
La5 0.0763 0.8540 0.1442
La6 0.2854 0.0163 0.6089
La7 0.9237 0.1460 0.8558
La8 0.7146 0.9837 0.3911
Si1 0.1897 0.9397 0.8793
Si2 0.8103 0.0603 0.1207
# SG = C2/c (15)
# Crystal system = monoclinic
# D(E_F) = 1.273 states/eV/atom
# ΔE_f (raw) = -0.484 eV per atom

How do the records compare in total moment? In the order shown, they have 4.0, 8.0, 0.0, 5.0, 11.9, 0.0, 0.0, 0.0, 0.0, 0.5, 0.0, 0.0, 0.0, 23.1, 0.0, 0.0, 0.0, 0.0, 0.0, 0.0 μB/f.u..